## Sr3Mn2O6 (GGA+U)

Data for crystalline Sr3Mn2O6 at its relaxed geometry.

abc: 3.8944 3.8944 20.5836
angles: 90.00 90.00 90.00
With the nearest neighbours (Å) after each atom.
Space group I4/mmm (No. 139)
Symmetry-distinct sites (fractional):
Sr 0.0000 0.0000 0.0000 x2  8 O 2.59
Sr 0.0000 0.0000 0.1838 x4  1 O 2.46
Mn 0.0000 0.0000 0.4011 x4  5 O 1.97-2.02
O 0.0000 0.0000 0.3032 x4  1 Mn 2.02
O 0.0000 0.5000 0.0833 x8  2 Mn 1.97

Summary:
As for the calculated total energy: -74.73 eV/f.u. Its crystal system is tetragonal. The density of states at the Fermi level is 0.158 states/eV per atom.